Record 1
Material: PaTl2BrF8
Method: DFT, PBE
State: relaxed

The structure in extended XYZ format:
```
12
Lattice="-5.304 -0.117 1.431 -0.710 -4.547 -3.004 4.799 -2.096 7.064" Properties=species:S:1:pos:R:3 pbc="T T T"
F 2.642 -1.680 4.598
F -0.279 -4.160 3.683
F -0.813 -2.719 1.690
F 0.100 -1.736 5.284
Tl 0.000 0.000 0.000
F 2.264 -4.104 2.997
Tl -1.756 -2.272 3.855
Pa 0.541 -4.487 1.637
F -3.981 -4.960 1.013
F -3.641 -2.781 2.453
F -1.154 -4.898 0.250
Br -3.007 -2.332 -0.786
```

Space group: I-4m2
Raw total energy in eV for the cell shown: -61.135
Formation energy without anion corrections in eV per formula unit: -30.263
Total moment in μB per atom: 0.046

***

Record 2
Material: AlIn2B2
Method: DFT, PBE
State: relaxed

The structure in extended XYZ format:
```
5
Lattice="4.264 0.000 0.000 0.000 4.264 0.000 2.132 2.132 4.612" Properties=species:S:1:pos:R:3 pbc="T T T"
B 2.132 2.132 0.825
Al 0.000 0.000 0.000
In 4.264 2.132 2.306
B 4.264 4.264 3.787
In 2.132 4.264 2.306
```

Space group: I4/mmm
Energy relative to the elements in meV/atom: 793
Raw total energy in eV for the cell shown: -18.607
Relative energy among the computed polymorphs in meV/atom: 147
Total moment in μB per atom: 0.000

***

Record 3
Material: PmNdY3
Method: DFT, PBE
State: relaxed

The structure in extended XYZ format:
```
10
Lattice="0.521 -4.491 -8.605 3.346 -4.080 2.332 -4.980 -2.240 3.228" Properties=species:S:1:pos:R:3 pbc="T T T"
Y 2.875 -8.734 -5.850
Pm 0.754 -8.747 -2.828
Y 0.739 -5.972 -5.088
Y -0.514 -6.470 2.975
Nd -1.337 -8.745 0.176
Nd 1.562 -3.697 -2.289
Y 1.578 -6.475 -0.035
Y -1.352 -5.967 -2.078
Y -2.649 -3.708 3.737
Pm -0.528 -3.696 0.715
```

Space group: P2_1/m
Energy relative to the elements in meV/atom: 12
Raw total energy in eV for the cell shown: -57.705
Relative energy among the computed polymorphs in meV/atom: 0
Total moment in μB per atom: 0.000

***

Record 4
Material: Na3SnPb4
Method: DFT, PBE
State: relaxed

The structure in extended XYZ format:
```
8
Lattice="-4.844 0.363 -3.976 -6.578 -1.475 2.925 -2.877 6.710 -0.837" Properties=species:S:1:pos:R:3 pbc="T T T"
Na -7.969 6.526 -4.562
Sn -7.088 2.935 -1.007
Na -3.496 2.318 -0.485
Pb -9.291 0.814 -0.979
Na -10.190 4.636 -2.028
Pb -6.884 0.634 0.997
Pb -7.021 5.942 -0.815
Pb -5.272 4.094 -3.114
```

Space group: Imm2
Energy relative to the elements in meV/atom: -2
Raw total energy in eV for the cell shown: -22.806
Total moment in μB per atom: 0.000

***

Record 5
Material: SiIrC3
Method: DFT, PBE
State: relaxed

The structure in extended XYZ format:
```
5
Lattice="-1.151 3.827 0.262 -1.182 -0.094 -3.825 -3.649 -1.177 1.156" Properties=species:S:1:pos:R:3 pbc="T T T"
Si -2.991 1.278 -1.204
C -0.576 1.913 0.131
C -0.591 -0.047 -1.913
C -1.824 -0.589 0.578
Ir 0.000 0.000 0.000
```

Space group: Pm-3m
Raw total energy in eV for the cell shown: -30.471
Relative energy among the computed polymorphs in meV/atom: 119
Formation energy without anion corrections in eV per formula unit: 11.484
Total moment in μB per atom: 0.000

***

Record 6
Material: Li2MgIn2
Method: DFT, PBE
State: relaxed

The structure in extended XYZ format:
```
5
Lattice="3.904 0.000 0.000 0.000 3.904 0.000 1.952 1.952 7.138" Properties=species:S:1:pos:R:3 pbc="T T T"
Mg 0.000 0.000 0.000
Li 3.904 1.952 3.569
In 3.904 3.904 5.659
In 1.952 1.952 1.479
Li 1.952 3.904 3.569
```

Space group: I4/mmm
Energy relative to the elements in meV/atom: -116
Raw total energy in eV for the cell shown: -11.478
Relative energy among the computed polymorphs in meV/atom: 87
Total moment in μB per atom: 0.000

***

Record 7
Material: K2LiCo
Method: DFT, PBE
State: relaxed

The structure in extended XYZ format:
```
4
Lattice="4.604 -0.232 -0.132 3.725 2.716 -0.132 0.663 0.198 10.115" Properties=species:S:1:pos:R:3 pbc="T T T"
Co 2.248 0.671 2.463
K 4.528 1.351 4.578
K 8.297 2.475 0.084
Li 6.744 2.012 7.389
```

Space group: C2/m
Energy relative to the elements in meV/atom: 854
Raw total energy in eV for the cell shown: -7.799
Relative energy among the computed polymorphs in meV/atom: 223
Total moment in μB per atom: 0.412

***

Record 8
Material: MgGa2Tc
Method: DFT, PBE
State: relaxed

The structure in extended XYZ format:
```
4
Lattice="-2.618 -0.610 1.341 -0.681 -2.829 0.748 2.602 0.014 8.453" Properties=species:S:1:pos:R:3 pbc="T T T"
Ga -0.259 -0.883 2.458
Mg -0.354 -1.715 5.259
Ga 1.764 -0.249 6.696
Tc -2.196 -2.292 1.400
```

Space group: R3m
Energy relative to the elements in meV/atom: -19
Raw total energy in eV for the cell shown: -18.092
Total moment in μB per atom: 0.000

***

Record 9
Material: Ag2Hg
Method: DFT, PBE
State: relaxed

The structure in extended XYZ format:
```
6
Lattice="-0.908 -0.681 2.873 -3.433 -2.996 -1.795 4.625 -6.239 1.568" Properties=species:S:1:pos:R:3 pbc="T T T"
Ag 3.236 -6.370 1.104
Ag -0.251 -2.328 1.026
Ag 0.535 -7.588 1.620
Ag -2.952 -3.546 1.542
Hg -0.834 -5.138 0.150
Hg 1.118 -4.778 2.496
```

Space group: P2_1/m
Energy relative to the elements in meV/atom: 66
Raw total energy in eV for the cell shown: -11.610
Relative energy among the computed polymorphs in meV/atom: 16
Total moment in μB per atom: 0.000

***

Record 10
Material: Zn2InBr
Method: DFT, PBE
State: relaxed

The structure in extended XYZ format:
```
4
Lattice="-2.692 -1.896 1.203 -0.736 -1.914 -4.662 3.471 -4.185 1.170" Properties=species:S:1:pos:R:3 pbc="T T T"
In 1.368 -3.049 -1.746
Br 0.389 -3.041 1.187
Zn -1.714 -1.905 -1.730
Zn 0.000 0.000 0.000
```

Space group: Pmmm
Raw total energy in eV for the cell shown: -6.801
Relative energy among the computed polymorphs in meV/atom: 185
Formation energy without anion corrections in eV per formula unit: 0.158
Total moment in μB per atom: 0.000

***

Record 11
Material: MgBi2Rh
Method: DFT, PBE
State: relaxed

The structure in extended XYZ format:
```
8
Lattice="-4.424 1.920 -3.443 5.494 -1.811 -3.494 -2.947 -4.615 2.265" Properties=species:S:1:pos:R:3 pbc="T T T"
Bi -2.026 -0.741 -0.324
Bi -1.308 -0.619 -3.764
Mg -3.287 -3.111 0.950
Bi -0.570 -3.887 -0.910
Bi -5.346 -1.955 -0.855
Mg -4.084 0.415 -2.129
Rh -2.476 -3.462 -3.323
Rh 0.598 -1.044 -1.350
```

Space group: Fmmm
Energy relative to the elements in meV/atom: -64
Raw total energy in eV for the cell shown: -33.931
Total moment in μB per atom: 0.000

***

Record 12
Material: Np2GaHg
Method: DFT, PBE
State: relaxed

The structure in extended XYZ format:
```
4
Lattice="4.036 0.000 0.000 0.000 4.036 0.000 0.000 0.000 5.666" Properties=species:S:1:pos:R:3 pbc="T T T"
Np 0.000 0.000 1.352
Np 0.000 0.000 4.313
Ga 2.018 2.018 0.000
Hg 2.018 2.018 2.833
```

Space group: P4/mmm
Energy relative to the elements in meV/atom: 165
Raw total energy in eV for the cell shown: -28.552
Total moment in μB per atom: 2.228

***

Record 13
Material: AcDyAlAg
Method: DFT, PBE
State: relaxed

The structure in extended XYZ format:
```
4
Lattice="-2.467 2.692 3.987 -2.308 -2.711 4.068 2.203 0.139 4.935" Properties=species:S:1:pos:R:3 pbc="T T T"
Ag -0.643 0.030 3.248
Dy 0.000 0.000 0.000
Ac -1.286 0.060 6.495
Al -1.929 0.090 9.743
```

Space group: F-43m
Energy relative to the elements in meV/atom: -232
Raw total energy in eV for the cell shown: -16.231
Total moment in μB per atom: 0.000

***

Record 14
Material: AcYHg
Method: DFT, PBE
State: relaxed

The structure in extended XYZ format:
```
9
Lattice="5.041 0.000 0.000 0.000 8.257 0.000 0.000 -4.128 7.150" Properties=species:S:1:pos:R:3 pbc="T T T"
Hg 2.520 0.000 0.000
Y 0.000 -3.062 5.304
Y 0.000 1.066 1.847
Ac 2.520 3.315 0.000
Y 0.000 6.124 0.000
Hg 0.000 0.000 4.767
Hg 0.000 4.128 2.383
Ac 2.520 2.471 4.280
Ac 2.520 -1.657 2.870
```

Space group: P-62m
Energy relative to the elements in meV/atom: -290
Raw total energy in eV for the cell shown: -35.231
Relative energy among the computed polymorphs in meV/atom: 45
Total moment in μB per atom: 0.000

***

Record 15
Material: Tb5Pr6Dy2
Method: DFT, PBE
State: relaxed

The structure in extended XYZ format:
```
26
Lattice="3.646 0.000 0.000 0.000 11.793 0.000 0.000 0.000 20.798" Properties=species:S:1:pos:R:3 pbc="T T T"
Pr 1.823 3.841 2.811
Dy 0.000 1.967 16.418
Tb 1.823 4.819 15.111
Pr 0.000 4.918 18.040
Pr 0.000 0.712 1.668
Pr 0.000 0.978 7.641
Pr 1.823 7.951 17.987
Pr 0.000 6.874 2.758
Pr 1.823 2.055 13.210
Dy 0.000 9.826 4.380
Tb 1.823 9.455 1.166
Tb 1.823 6.974 5.687
Dy 0.000 7.864 14.779
Tb 1.823 8.234 11.565
Pr 0.000 11.081 19.130
Pr 1.823 9.738 7.588
Pr 0.000 6.608 8.731
Tb 1.823 2.338 19.632
Pr 0.000 5.185 12.068
Dy 0.000 3.929 6.019
Tb 1.823 5.896 0.000
Tb 1.823 10.715 16.086
Tb 1.823 1.077 4.712
Tb 1.823 3.558 9.233
Pr 0.000 10.815 13.157
Tb 1.823 0.000 10.399
```

Space group: Pbam
Energy relative to the elements in meV/atom: 100
Raw total energy in eV for the cell shown: -119.454
Total moment in μB per atom: 0.000

***

Record 16
Material: YIn2Ni
Method: DFT, PBE
State: relaxed

The structure in extended XYZ format:
```
4
Lattice="4.010 0.000 0.000 0.000 3.759 -0.001 0.000 1.875 6.023" Properties=species:S:1:pos:R:3 pbc="T T T"
Ni 0.000 2.110 3.335
In 0.000 0.237 0.039
Y 2.005 3.991 4.165
In 2.005 2.113 1.494
```

Space group: Amm2
Energy relative to the elements in meV/atom: -241
Raw total energy in eV for the cell shown: -18.685
Total moment in μB per atom: 0.000

***

Record 17
Material: NdSc4Te6
Method: DFT, PBE
State: relaxed

The structure in extended XYZ format:
```
22
Lattice="-2.289 3.461 0.476 -2.871 -5.005 4.261 12.830 6.282 16.023" Properties=species:S:1:pos:R:3 pbc="T T T"
Sc -1.693 -1.893 5.625
Sc -0.738 -0.744 1.859
Nd 0.847 2.309 5.606
Te 0.600 -0.556 6.927
Sc 9.363 6.631 15.136
Te -2.094 0.573 4.093
Te 6.022 4.055 17.804
Te 5.271 4.871 8.249
Te 9.764 4.165 16.668
Sc 2.864 2.768 11.978
Te 7.070 5.293 13.833
Te 4.009 1.839 5.905
Te 5.705 2.178 11.599
Sc 8.408 5.482 18.901
Sc 6.095 5.031 11.054
Sc 4.806 1.970 8.783
Nd 6.823 2.429 15.154
Te 3.661 2.899 14.855
Te 1.965 2.560 9.161
Te 1.648 0.683 2.956
Sc 1.575 -0.293 9.706
Te -1.144 1.731 0.238
```

Space group: Cmcm
Raw total energy in eV for the cell shown: -125.135
Formation energy without anion corrections in eV per formula unit: -13.624
Total moment in μB per atom: 0.000

***

Record 18
Material: AcPmCdPb
Method: DFT, PBE
State: relaxed

The structure in extended XYZ format:
```
4
Lattice="-0.067 3.614 -4.349 -0.878 -1.910 -5.250 -4.863 1.147 -2.649" Properties=species:S:1:pos:R:3 pbc="T T T"
Pb -1.452 0.713 -3.062
Ac 0.000 0.000 0.000
Cd -4.356 2.138 -9.186
Pm -2.904 1.426 -6.124
```

Space group: F-43m
Energy relative to the elements in meV/atom: -390
Raw total energy in eV for the cell shown: -15.043
Total moment in μB per atom: 0.000

***

Record 19
Material: Rb2HgPd
Method: DFT, PBE
State: relaxed

The structure in extended XYZ format:
```
8
Lattice="6.731 0.000 0.000 0.000 6.731 0.000 3.365 3.365 9.676" Properties=species:S:1:pos:R:3 pbc="T T T"
Rb 8.413 7.976 7.257
Rb 2.120 5.048 2.419
Rb 5.048 5.486 7.257
Hg 6.731 3.365 4.838
Pd 3.365 6.731 4.838
Rb 4.610 1.683 2.419
Hg 0.000 0.000 0.000
Pd 3.365 3.365 0.000
```

Space group: I-42d
Energy relative to the elements in meV/atom: 238
Raw total energy in eV for the cell shown: -12.955
Total moment in μB per atom: 0.000

***

Record 20
Material: CoCuAs2Se
Method: DFT, PBE
State: relaxed

The structure in extended XYZ format:
```
5
Lattice="-3.974 -0.672 -1.705 -1.675 -0.319 4.030 -0.885 5.136 0.039" Properties=species:S:1:pos:R:3 pbc="T T T"
Co 0.000 0.000 0.000
As -0.838 -0.160 2.015
Cu -3.267 2.073 1.182
Se -0.443 2.568 0.020
As -1.987 -0.336 -0.853
```

Space group: P4/mmm
Raw total energy in eV for the cell shown: -21.346
Relative energy among the computed polymorphs in meV/atom: 0
Formation energy without anion corrections in eV per formula unit: 2.640
Total moment in μB per atom: 0.000

***

Record 21
Material: ZnSiH2
Method: DFT, PBE
State: relaxed

The structure in extended XYZ format:
```
4
Lattice="-2.626 -1.001 -2.535 -3.282 1.877 -0.167 -0.742 2.255 -2.948" Properties=species:S:1:pos:R:3 pbc="T T T"
Zn -3.325 1.566 -2.825
H -1.663 0.783 -1.413
Si 0.000 0.000 0.000
H -4.988 2.348 -4.238
```

Space group: Fm-3m
Raw total energy in eV for the cell shown: -10.343
Relative energy among the computed polymorphs in meV/atom: 257
Total moment in μB per atom: 0.000

***

Record 22
Material: Er2Fe3B6
Method: DFT, PBE
State: relaxed

The structure in extended XYZ format:
```
11
Lattice="-2.863 -1.784 -0.881 2.822 -4.975 0.903 -2.150 0.828 5.313" Properties=species:S:1:pos:R:3 pbc="T T T"
Fe 0.533 -3.288 4.927
Fe 0.139 -0.860 1.289
Er 1.401 -3.317 2.163
B -1.016 -3.455 3.401
B -0.516 -2.745 0.336
B -1.675 -3.186 5.000
Er -0.729 -0.831 4.053
B -2.034 -0.973 1.682
B -0.157 -4.958 3.653
Fe -1.431 -0.892 -0.440
B -1.175 -2.476 1.934
```

Space group: Cmmm
Energy relative to the elements in meV/atom: -498
Raw total energy in eV for the cell shown: -80.055
Total moment in μB per atom: 0.372